No. 1
{"formula": "NbRu3N", "functional": "GGA-PBE", "state": "optimized geometry", "lattice": [[4.7596, 0.0000, 0.0000], [0.0000, 4.7596, 0.0000], [0.0000, 0.0000, 4.7596]], "species": ["Nb", "Ru", "Ru", "Ru", "N"], "frac_coords": [[0.0000, 0.0000, 0.0000], [0.0000, 0.0000, 0.5000], [0.0000, 0.5000, 0.0000], [0.5000, 0.0000, 0.0000], [0.5000, 0.5000, 0.5000]], "space_group": "No. 221", "total_magnetization_mub_per_fu": 5.8, "e_above_lowest_polymorph_mev_per_atom": 2735, "e_form_raw_ev_per_atom": 2.768}

No. 2
{"formula": "NaPt3", "functional": "GGA-PBE", "state": "optimized geometry", "lattice": [[2.7698, 0.0000, 0.0000], [-1.3849, 2.3987, 0.0000], [0.0000, 0.0000, 9.8195]], "species": ["Na", "Pt", "Pt", "Pt"], "frac_coords": [[0.0000, 0.0000, 0.0000], [0.0000, 0.0000, 0.5000], [0.3333, 0.6667, 0.2541], [0.3333, 0.6667, 0.7459]], "space_group": "No. 187", "total_magnetization_mub_per_fu": 0.0, "delta_e_f_ev_per_atom": -0.03}

No. 3
{"formula": "MgSeI2F", "functional": "GGA-PBE", "state": "optimized geometry", "lattice": [[5.8121, 0.0000, 0.0000], [0.0000, 5.8121, 0.0000], [0.0000, 0.0000, 3.7926]], "species": ["Mg", "Se", "I", "I", "F"], "frac_coords": [[0.0000, 0.0000, 0.0000], [0.5000, 0.5000, 0.5000], [0.0000, 0.5000, 0.0000], [0.5000, 0.0000, 0.0000], [0.0000, 0.0000, 0.5000]], "space_group": "No. 123", "total_magnetization_mub_per_fu": 0.0, "e_form_raw_ev_per_atom": -0.914}